Record 1
Compound: ZrCuSb
Source: Alexandria via LeMat-Bulk
Functional: PBE
Structure: optimized geometry

Total magnetic moment = 0.00 μB per cell
Formation energy without anion corrections = 0.05 eV per atom
DOS at the Fermi energy = 1.82 states/eV/cell
Crystal system = trigonal

Cell: 3.2071 3.2071 6.9687 Å, 90.00 90.00 120.00°
With the nearest neighbours (Å) after each atom.
Element x y z (fractional)
1 Sb 0.3333 0.6667 0.3220  3 Cu 2.94, 3 Zr 3.13, 6 Sb 3.21
2 Zr 0.6667 0.3333 0.6833  3 Cu 2.85, 3 Sb 3.13
3 Cu 0.0000 0.0000 0.9947  3 Zr 2.85, 3 Sb 2.94



Record 2
Compound: ZrCuSb2
Source: Alexandria via LeMat-Bulk
Functional: PBE
Structure: optimized geometry

Total magnetic moment = 0.00 μB per cell
Formation energy without anion corrections = -0.18 eV per atom
DOS at the Fermi energy = 1.66 states/eV/cell
Crystal system = monoclinic

Cell: 4.6758 4.7876 6.0776 Å, 38.27 90.00 90.00°
With the nearest neighbours (Å) after each atom.
Element x y z (fractional)
1 Sb 0.5000 0.5000 0.0000  4 Cu 3.00, 4 Zr 3.04-3.05, 4 Sb 3.35
2 Cu 0.0000 0.0000 0.5000  8 Sb 3.00-3.05, 4 Zr 3.35
3 Sb 0.0000 0.0000 0.0000  4 Zr 3.00, 4 Cu 3.04-3.05, 4 Sb 3.35
4 Zr 0.5000 0.5000 0.5000  8 Sb 3.00-3.05, 4 Cu 3.35